Crystalline LaSi2Pt at its relaxed geometry. Source: Alexandria via LeMat-Bulk, functional GGA-PBE.

Computed properties:
E_form (uncorrected): -0.243 eV/atom

extended XYZ file:
```
16
Lattice="6.8315 0.0000 0.0000 0.0000 6.8315 0.0000 0.0000 0.0000 6.8315" Properties=species:S:1:pos:R:3 pbc="T T T"
La 0.0000 0.0000 0.0000
La 0.0000 3.4157 3.4157
La 3.4157 0.0000 3.4157
La 3.4157 3.4157 0.0000
Si 0.0000 0.0000 3.4157
Si 0.0000 3.4157 0.0000
Si 1.7079 1.7079 1.7079
Si 1.7079 5.1236 5.1236
Si 3.4157 0.0000 0.0000
Si 3.4157 3.4157 3.4157
Si 5.1236 1.7079 5.1236
Si 5.1236 5.1236 1.7079
Pt 1.7079 1.7079 5.1236
Pt 1.7079 5.1236 1.7079
Pt 5.1236 1.7079 1.7079
Pt 5.1236 5.1236 5.1236
```

Crystalline LaPdSe2N at its relaxed geometry. Source: Alexandria via LeMat-Bulk, functional GGA-PBE.

Computed properties:
E_form (uncorrected): -0.400 eV/atom
Polymorph energy (0 for the lowest one): 0 meV/atom

extended XYZ file:
```
5
Lattice="5.1703 0.0000 0.0000 0.0000 5.1703 0.0000 0.0000 0.0000 3.8878" Properties=species:S:1:pos:R:3 pbc="T T T"
La 0.0000 0.0000 0.0000
Pd 2.5852 2.5852 1.9439
Se 0.0000 2.5852 1.9439
Se 2.5852 0.0000 1.9439
N 2.5852 2.5852 0.0000
```

Crystalline Cs3PF7 at its relaxed geometry. Source: Alexandria via LeMat-Bulk, functional GGA-PBE.

Computed properties:
E_form (uncorrected): -2.532 eV/atom

extended XYZ file:
```
22
Lattice="8.5679 0.0000 0.0000 0.0000 8.5679 0.0000 0.0000 0.0000 6.3128" Properties=species:S:1:pos:R:3 pbc="T T T"
Cs 0.0000 0.0000 0.0000
Cs 1.6666 2.6174 3.1564
Cs 2.6174 6.9013 3.1564
Cs 4.2840 4.2840 0.0000
Cs 5.9506 1.6666 3.1564
Cs 6.9013 5.9506 3.1564
P 0.0000 4.2840 0.0000
P 4.2840 0.0000 0.0000
F 0.0000 0.0000 3.1564
F 0.9012 5.1852 1.2940
F 0.9012 5.1852 5.0189
F 1.2812 3.0027 0.0000
F 3.0027 7.2867 0.0000
F 3.3827 0.9012 1.2940
F 3.3827 0.9012 5.0189
F 4.2840 4.2840 3.1564
F 5.1852 7.6667 1.2940
F 5.1852 7.6667 5.0189
F 5.5652 1.2812 0.0000
F 7.2867 5.5652 0.0000
F 7.6667 3.3827 1.2940
F 7.6667 3.3827 5.0189
```

Crystalline MgAs2Ir at its relaxed geometry. Source: Alexandria via LeMat-Bulk, functional GGA-PBE.

Computed properties:
Calculated total energy: -5.067 eV per atom

extended XYZ file:
```
8
Lattice="3.0213 0.0000 0.0000 0.0000 3.5892 0.0000 0.0000 0.0000 13.5660" Properties=species:S:1:pos:R:3 pbc="T T T"
Mg 0.0000 0.0000 0.0000
Mg 1.5107 1.7946 6.7830
As 0.0000 0.0000 8.2501
As 0.0000 1.7946 4.4403
As 1.5107 0.0000 11.2233
As 1.5107 1.7946 1.4671
Ir 0.0000 1.7946 10.0780
Ir 1.5107 0.0000 3.2950
```

Crystalline Ag2SbRu at its relaxed geometry. Source: Alexandria via LeMat-Bulk, functional GGA-PBE.

Computed properties:
E_form (uncorrected): 0.576 eV/atom

extended XYZ file:
```
12
Lattice="2.9985 0.0000 0.0000 -1.4993 2.5968 0.0000 0.0000 0.0000 29.2293" Properties=species:S:1:pos:R:3 pbc="T T T"
Ag 0.0000 0.0000 7.1344
Ag 0.0000 0.0000 22.0949
Ag 0.0000 1.7312 12.3518
Ag 0.0000 1.7312 26.6206
Ag 1.4993 0.8656 2.6087
Ag 1.4993 0.8656 16.8775
Sb 0.0000 0.0000 0.0000
Sb 0.0000 1.7312 19.4862
Sb 1.4993 0.8656 9.7431
Ru 0.0000 0.0000 14.6146
Ru 0.0000 1.7312 4.8716
Ru 1.4993 0.8656 24.3577
```

Crystalline TbHo2Th3Se6 at its relaxed geometry. Source: Alexandria via LeMat-Bulk, functional GGA-PBE.

Computed properties:
E_form (uncorrected): -1.634 eV/atom

extended XYZ file:
```
12
Lattice="3.4751 -5.9870 0.0000 3.4751 5.9870 0.0000 -2.2959 0.0000 7.2153" Properties=species:S:1:pos:R:3 pbc="T T T"
Tb 0.0000 0.0000 0.0000
Ho 3.4751 1.9991 0.0000
Ho 3.4751 -1.9991 0.0000
Th 2.3271 4.0058 3.6077
Th 2.3271 0.0000 3.6077
Th 2.3271 -4.0058 3.6077
Se 1.1722 2.0093 1.6814
Se 0.0331 0.0000 5.5442
Se 1.1722 -2.0093 1.6814
Se 3.4821 2.0093 5.5340
Se 4.6211 0.0000 1.6711
Se 3.4821 -2.0093 5.5340
```

Crystalline LaNi2Ru at its relaxed geometry. Source: Alexandria via LeMat-Bulk, functional GGA-PBE.

Computed properties:
Calculated total energy: -6.621 eV per atom

extended XYZ file:
```
12
Lattice="4.2183 0.0000 0.0000 -2.1091 3.6532 0.0000 0.0000 0.0000 14.6012" Properties=species:S:1:pos:R:3 pbc="T T T"
La 0.0000 0.0000 0.0000
La 0.0000 2.4354 9.7342
La 2.1092 1.2177 4.8671
Ni 0.0000 0.0000 2.7887
Ni 0.0000 0.0000 11.8126
Ni 0.0000 2.4354 6.9455
Ni 0.0000 2.4354 12.5228
Ni 2.1092 1.2177 2.0784
Ni 2.1092 1.2177 7.6557
Ru 0.0000 0.0000 7.3006
Ru 0.0000 2.4354 2.4335
Ru 2.1092 1.2177 12.1677
```

Crystalline Sr3TcBi at its relaxed geometry. Source: Alexandria via LeMat-Bulk, functional GGA-PBE.

Computed properties:
Polymorph energy (0 for the lowest one): 0 meV/atom

extended XYZ file:
```
5
Lattice="5.5913 0.0000 0.0000 0.0000 5.5913 0.0000 0.0000 0.0000 5.5913" Properties=species:S:1:pos:R:3 pbc="T T T"
Sr 0.0000 0.0000 2.7956
Sr 0.0000 2.7956 0.0000
Sr 2.7956 0.0000 0.0000
Tc 0.0000 0.0000 0.0000
Bi 2.7956 2.7956 2.7956
```

Crystalline LiHo2Ag3 at its relaxed geometry. Source: Alexandria via LeMat-Bulk, functional GGA-PBE.

Computed properties:
Polymorph energy (0 for the lowest one): 18 meV/atom

extended XYZ file:
```
12
Lattice="5.0573 0.0000 0.0000 0.0000 14.8301 0.0000 0.0000 0.0000 3.4612" Properties=species:S:1:pos:R:3 pbc="T T T"
Li 0.0000 0.0000 0.0000
Li 2.5287 7.4151 0.0000
Ho 0.0000 4.8999 0.0000
Ho 0.0000 9.9302 0.0000
Ho 2.5287 2.5151 0.0000
Ho 2.5287 12.3150 0.0000
Ag 0.0000 2.2213 1.7306
Ag 0.0000 7.4151 1.7306
Ag 0.0000 12.6088 1.7306
Ag 2.5287 0.0000 1.7306
Ag 2.5287 5.1937 1.7306
Ag 2.5287 9.6364 1.7306
```

Crystalline TiAlTl2 at its relaxed geometry. Source: Alexandria via LeMat-Bulk, functional GGA-PBE.

Computed properties:
Polymorph energy (0 for the lowest one): 0 meV/atom

extended XYZ file:
```
16
Lattice="7.7975 0.0000 0.0000 0.0000 7.7975 0.0000 0.0000 0.0000 6.0162" Properties=species:S:1:pos:R:3 pbc="T T T"
Ti 0.0000 0.0000 0.0000
Ti 0.0000 3.8988 1.5041
Ti 3.8988 0.0000 4.5122
Ti 3.8988 3.8988 3.0081
Al 0.0000 0.0000 3.0081
Al 0.0000 3.8988 4.5122
Al 3.8988 0.0000 1.5041
Al 3.8988 3.8988 0.0000
Tl 1.8670 1.9494 3.7601
Tl 1.9494 5.7657 5.2642
Tl 1.9494 5.9305 2.2561
Tl 2.0318 1.9494 0.7520
Tl 5.7657 5.8481 0.7520
Tl 5.8481 1.8670 2.2561
Tl 5.8481 2.0318 5.2642
Tl 5.9305 5.8481 3.7601
```

Crystalline Na4TiO4 at its relaxed geometry. Source: Alexandria via LeMat-Bulk, functional GGA-PBE.

Computed properties:
E_form (uncorrected): -2.074 eV/atom

extended XYZ file:
```
18
Lattice="4.4382 -4.3551 0.0000 4.4382 4.3551 0.0000 0.0000 0.0000 6.7489" Properties=species:S:1:pos:R:3 pbc="T T T"
Na 3.0869 2.5161 5.0616
Na 2.9890 0.0000 0.0000
Na 2.9890 0.0000 3.3744
Na 5.7894 2.5161 5.0616
Na 3.0869 -2.5161 1.6872
Na 5.8873 0.0000 0.0000
Na 5.8873 0.0000 3.3744
Na 5.7894 -2.5161 1.6872
Ti 4.4382 2.8640 1.6872
Ti 4.4382 -2.8640 5.0616
O 1.5696 0.5221 5.0616
O 1.5696 -0.5221 1.6872
O 4.4382 1.7994 0.1664
O 4.4382 1.7994 3.2080
O 4.4382 -1.7994 3.5409
O 4.4382 -1.7994 6.5824
O 7.3067 0.5221 5.0616
O 7.3067 -0.5221 1.6872
```

Crystalline Th2InSi3Ni12 at its relaxed geometry. Source: Alexandria via LeMat-Bulk, functional GGA-PBE.

Computed properties:
E_form (uncorrected): 0.001 eV/atom

extended XYZ file:
```
18
Lattice="3.6710 2.1195 6.2886 -3.6710 2.1195 6.2886 0.0000 -4.2389 6.2886" Properties=species:S:1:pos:R:3 pbc="T T T"
Th 0.0000 0.0000 1.9728
Th 0.0000 0.0000 16.8931
In 0.0000 0.0000 9.4329
Si -1.8355 -1.0597 6.2886
Si -1.8355 1.0597 12.5772
Si 0.0000 2.1195 6.2886
Ni -2.1816 -1.2595 8.5761
Ni 0.0000 -2.0185 5.6626
Ni -1.7481 1.0093 5.6626
Ni 0.0000 -2.5191 10.2897
Ni -2.1816 1.2595 10.2897
Ni -1.7481 -1.0093 13.2032
Ni 1.7481 1.0093 5.6626
Ni 2.1816 -1.2595 8.5761
Ni 0.0000 2.5191 8.5761
Ni 1.7481 -1.0093 13.2032
Ni 0.0000 2.0185 13.2032
Ni 2.1816 1.2595 10.2897
```